Record 1
This record from the Open Quantum Materials Database describes an optimized crystal structure of LiAsIrO. The functional is PBE-GGA.

Results
space group	P4/nmm, No. 129
raw total energy	-40.7	eV for the cell shown

Lattice parameters (Å, degrees): 3.4792 3.4792 8.6263 90.00 90.00 90.00
Fractional coordinates of all 8 atoms:
As: 0.0000 0.5000 0.2813
As: 0.5000 0.0000 0.7187
Ir: 0.5000 0.0000 0.1551
Ir: 0.0000 0.5000 0.8449
Li: 0.0000 0.0000 0.5000
Li: 0.5000 0.5000 0.5000
O: 0.0000 0.0000 0.0000
O: 0.5000 0.5000 0.0000

Record 2
This record from the Open Quantum Materials Database describes an optimized crystal structure of LiAsIrO. The functional is PBE-GGA.

Results
space group	P4/nmm, No. 129
raw total energy	-45.1	eV for the cell shown

Lattice parameters (Å, degrees): 3.8559 3.8559 7.8891 90.00 90.00 90.00
Fractional coordinates of all 8 atoms:
As: 0.0000 0.5000 0.3007
As: 0.5000 0.0000 0.6993
Ir: 0.0000 0.0000 0.5000
Ir: 0.5000 0.5000 0.5000
Li: 0.5000 0.0000 0.0485
Li: 0.0000 0.5000 0.9515
O: 0.0000 0.0000 0.0000
O: 0.5000 0.5000 0.0000

Record 3
This record from the Open Quantum Materials Database describes an optimized crystal structure of LiAsIrO. The functional is PBE-GGA.

Results
space group	Pmc2_1, No. 26
raw total energy	-45.1	eV for the cell shown

Lattice parameters (Å, degrees): 3.8602 5.5748 5.7004 90.00 90.00 90.00
Fractional coordinates of all 8 atoms:
As: 0.0000 0.8294 0.3487
As: 0.0000 0.1706 0.8487
Ir: 0.0000 0.2444 0.4398
Ir: 0.0000 0.7556 0.9398
Li: 0.5000 0.4031 0.0756
Li: 0.5000 0.5969 0.5756
O: 0.5000 0.3143 0.3899
O: 0.5000 0.6857 0.8899

Record 4
This record from the Open Quantum Materials Database describes an optimized crystal structure of Li4As2IrPd. The functional is PBE-GGA.

Results
space group	P-4m2, No. 115
raw total energy	-35.3	eV for the cell shown

Lattice parameters (Å, degrees): 4.2602 4.2602 5.9909 90.00 90.00 90.00
Fractional coordinates of all 8 atoms:
As: 0.5000 0.0000 0.2654
As: 0.0000 0.5000 0.7346
Ir: 0.0000 0.0000 0.5000
Li: 0.0000 0.0000 0.0000
Li: 0.0000 0.5000 0.2467
Li: 0.5000 0.5000 0.5000
Li: 0.5000 0.0000 0.7533
Pd: 0.5000 0.5000 0.0000

Record 5
This record from the Open Quantum Materials Database describes an optimized crystal structure of Li4SbAsIr2. The functional is PBE-GGA.

Results
space group	P-4m2, No. 115
raw total energy	-37.5	eV for the cell shown

Lattice parameters (Å, degrees): 4.2702 4.2702 6.2207 90.00 90.00 90.00
Fractional coordinates of all 8 atoms:
As: 0.5000 0.5000 0.0000
Ir: 0.0000 0.5000 0.2314
Ir: 0.5000 0.0000 0.7686
Li: 0.0000 0.0000 0.0000
Li: 0.5000 0.0000 0.2260
Li: 0.5000 0.5000 0.5000
Li: 0.0000 0.5000 0.7740
Sb: 0.0000 0.0000 0.5000

Record 6
This record from the Open Quantum Materials Database describes an optimized crystal structure of LiTlAsIr. The functional is PBE-GGA.

Results
space group	F-43m, No. 216
raw total energy	-16.8	eV for the cell shown

Lattice parameters (Å, degrees): 4.6292 4.6292 4.6292 60.00 60.00 60.00
Fractional coordinates of all 4 atoms:
As: 0.2500 0.2500 0.2500
Ir: 0.0000 0.0000 0.0000
Li: 0.7500 0.7500 0.7500
Tl: 0.5000 0.5000 0.5000

Record 7
This record from the Open Quantum Materials Database describes an optimized crystal structure of LiTlAsIr. The functional is PBE-GGA.

Results
space group	F-43m, No. 216
raw total energy	-17.7	eV for the cell shown

Lattice parameters (Å, degrees): 4.5971 4.5971 4.5971 60.00 60.00 60.00
Fractional coordinates of all 4 atoms:
As: 0.0000 0.0000 0.0000
Ir: 0.2500 0.2500 0.2500
Li: 0.7500 0.7500 0.7500
Tl: 0.5000 0.5000 0.5000

Record 8
This record from the Open Quantum Materials Database describes an optimized crystal structure of LiYAsIr. The functional is PBE-GGA.

Results
space group	F-43m, No. 216
raw total energy	-23.8	eV for the cell shown

Lattice parameters (Å, degrees): 4.6933 4.6933 4.6933 60.00 60.00 60.00
Fractional coordinates of all 4 atoms:
As: 0.5000 0.5000 0.5000
Ir: 0.0000 0.0000 0.0000
Li: 0.7500 0.7500 0.7500
Y: 0.2500 0.2500 0.2500

Record 9
This record from the Open Quantum Materials Database describes an optimized crystal structure of LiYAsIr. The functional is PBE-GGA.

Results
space group	F-43m, No. 216
raw total energy	-24.1	eV for the cell shown

Lattice parameters (Å, degrees): 4.5579 4.5579 4.5579 60.00 60.00 60.00
Fractional coordinates of all 4 atoms:
As: 0.2500 0.2500 0.2500
Ir: 0.0000 0.0000 0.0000
Li: 0.7500 0.7500 0.7500
Y: 0.5000 0.5000 0.5000

Record 10
This record from the Open Quantum Materials Database describes an optimized crystal structure of LiYAsIr. The functional is PBE-GGA.

Results
space group	F-43m, No. 216
raw total energy	-24.5	eV for the cell shown

Lattice parameters (Å, degrees): 4.5746 4.5746 4.5746 60.00 60.00 60.00
Fractional coordinates of all 4 atoms:
As: 0.0000 0.0000 0.0000
Ir: 0.2500 0.2500 0.2500
Li: 0.7500 0.7500 0.7500
Y: 0.5000 0.5000 0.5000

Record 11
This record from the Open Quantum Materials Database describes an optimized crystal structure of Lu2AsIr. The functional is PBE-GGA.

Results
space group	F-43m, No. 216
raw total energy	-23.8	eV for the cell shown

Lattice parameters (Å, degrees): 4.8051 4.8051 4.8051 60.00 60.00 60.00
Fractional coordinates of all 4 atoms:
As: 0.5000 0.5000 0.5000
Ir: 0.2500 0.2500 0.2500
Lu: 0.0000 0.0000 0.0000
Lu: 0.7500 0.7500 0.7500

Record 12
This record from the Open Quantum Materials Database describes an optimized crystal structure of LuAsIrO. The functional is PBE-GGA.

Results
space group	Pmc2_1, No. 26
raw total energy	-55.9	eV for the cell shown

Lattice parameters (Å, degrees): 4.6385 4.5184 6.1669 90.00 90.00 90.00
Fractional coordinates of all 8 atoms:
As: 0.0000 0.8594 0.2870
As: 0.0000 0.1406 0.7870
Ir: 0.0000 0.3615 0.4298
Ir: 0.0000 0.6385 0.9298
Lu: 0.5000 0.2313 0.0994
Lu: 0.5000 0.7687 0.5994
O: 0.5000 0.3429 0.4378
O: 0.5000 0.6571 0.9378

Record 13
This record from the Open Quantum Materials Database describes an optimized crystal structure of LuAsIrO. The functional is PBE-GGA.

Results
space group	Pmc2_1, No. 26
raw total energy	-56.0	eV for the cell shown

Lattice parameters (Å, degrees): 5.3382 3.2824 7.9123 90.00 90.00 90.00
Fractional coordinates of all 8 atoms:
As: 0.0417 0.0000 0.4295
As: 0.5418 0.0000 0.5704
Ir: 0.0582 0.5000 0.2109
Ir: 0.5579 0.5000 0.7892
Lu: 0.5404 0.0000 0.2016
Lu: 0.0400 0.0000 0.7984
O: 0.6059 0.5000 0.0498
O: 0.1061 0.5000 0.9501

Record 14
This record from the Open Quantum Materials Database describes an optimized crystal structure of LuAsIrO. The functional is PBE-GGA.

Results
space group	P4/nmm, No. 129
raw total energy	-60.5	eV for the cell shown

Lattice parameters (Å, degrees): 3.9928 3.9928 7.9349 90.00 90.00 90.00
Fractional coordinates of all 8 atoms:
As: 0.7500 0.7500 0.3172
As: 0.2500 0.2500 0.6828
Ir: 0.7500 0.2500 0.5000
Ir: 0.2500 0.7500 0.5000
Lu: 0.2500 0.2500 0.1250
Lu: 0.7500 0.7500 0.8750
O: 0.7500 0.2500 0.0000
O: 0.2500 0.7500 0.0000

Record 15
This record from the Open Quantum Materials Database describes an optimized crystal structure of LuAsIrO. The functional is PBE-GGA.

Results
space group	Cm, No. 8
raw total energy	-55.3	eV for the cell shown

Lattice parameters (Å, degrees): 5.8500 5.8500 4.2075 103.94 103.94 89.43
Fractional coordinates of all 8 atoms:
As: 0.1572 0.1572 0.1159
As: 0.8426 0.8426 0.8837
Ir: 0.7110 0.7110 0.3134
Ir: 0.2891 0.2891 0.6884
Lu: 0.7407 0.2565 0.4988
Lu: 0.2565 0.7407 0.4988
O: 0.6636 0.3394 0.0005
O: 0.3394 0.6636 0.0005

Record 16
This record from the Open Quantum Materials Database describes an optimized crystal structure of MgZnAsIr. The functional is PBE-GGA.

Results
space group	F-43m, No. 216
raw total energy	-16.8	eV for the cell shown

Lattice parameters (Å, degrees): 4.4514 4.4514 4.4514 60.00 60.00 60.00
Fractional coordinates of all 4 atoms:
As: 0.0000 0.0000 0.0000
Ir: 0.2500 0.2500 0.2500
Mg: 0.7500 0.7500 0.7500
Zn: 0.5000 0.5000 0.5000

Record 17
This record from the Open Quantum Materials Database describes an optimized crystal structure of MgZnAsIr. The functional is PBE-GGA.

Results
space group	F-43m, No. 216
raw total energy	-16.4	eV for the cell shown

Lattice parameters (Å, degrees): 4.4791 4.4791 4.4791 60.00 60.00 60.00
Fractional coordinates of all 4 atoms:
As: 0.2500 0.2500 0.2500
Ir: 0.0000 0.0000 0.0000
Mg: 0.7500 0.7500 0.7500
Zn: 0.5000 0.5000 0.5000

Record 18
This record from the Open Quantum Materials Database describes an optimized crystal structure of MoAsIr. The functional is PBE-GGA.

Results
space group	F-43m, No. 216
raw total energy	-23.6	eV for the cell shown

Lattice parameters (Å, degrees): 4.1467 4.1467 4.1467 60.00 60.00 60.00
Fractional coordinates of all 3 atoms:
As: 0.0000 0.0000 0.0000
Ir: 0.2500 0.2500 0.2500
Mo: 0.7500 0.7500 0.7500

Record 19
This record from the Open Quantum Materials Database describes an optimized crystal structure of Mo2AsIr. The functional is PBE-GGA.

Results
space group	F-43m, No. 216
raw total energy	-34.1	eV for the cell shown

Lattice parameters (Å, degrees): 4.4442 4.4442 4.4442 60.00 60.00 60.00
Last column: magnetic moment on the atom in μB.
Fractional coordinates of all 4 atoms:
As: 0.5000 0.5000 0.5000  0.04
Ir: 0.2500 0.2500 0.2500  0.10
Mo: 0.0000 0.0000 0.0000  0.68
Mo: 0.7500 0.7500 0.7500  -0.01

Record 20
This record from the Open Quantum Materials Database describes an optimized crystal structure of MoAsIr2. The functional is PBE-GGA.

Results
space group	F-43m, No. 216
raw total energy	-32.6	eV for the cell shown

Lattice parameters (Å, degrees): 4.4145 4.4145 4.4145 60.00 60.00 60.00
Fractional coordinates of all 4 atoms:
As: 0.5000 0.5000 0.5000
Ir: 0.0000 0.0000 0.0000
Ir: 0.7500 0.7500 0.7500
Mo: 0.2500 0.2500 0.2500

Asked for size of the total moment across the records above, the calculation gives 0.0, 0.0, 0.0, 0.0, 0.0, 0.0, 0.0, 0.0, 0.0, 0.0, 0.0, 0.0, 0.0, 0.0, 0.0, 0.0, 0.0, 0.0, 0.9, 0.0 μB/cell in order.